(1)
Computed, not measured: a relaxed InB3Pb crystal at the PBE level of DFT.

Computed properties:
* space-group type: Pm-3m (221)
* volume: 21.05 Å³ per atom
* energy of formation from the pure elements: 2.30 eV per atom
* total magnetic moment: 0.0 μB/f.u.
* offset from the most stable computed form: 252.5 meV/atom

Lattice parameters (Å, degrees): 4.7216 4.7216 4.7216 90.00 90.00 90.00
Last column: nearest neighbours and their distance in Å.
Sites, in units of the cell vectors:
1 In 0.0000 0.0000 0.0000  12 B 3.34
2 B 0.0000 0.5000 0.5000  2 Pb 2.36
3 B 0.5000 0.0000 0.5000  2 Pb 2.36
4 B 0.5000 0.5000 0.0000  2 Pb 2.36
5 Pb 0.5000 0.5000 0.5000  6 B 2.36

(2)
Computed, not measured: a relaxed Tb6PmTm2Sc crystal at the PBE level of DFT.

Computed properties:
* space-group type: C2/c (15)
* volume: 31.40 Å³ per atom
* energy of formation from the pure elements: 0.13 eV per atom
* total magnetic moment: 0.0 μB/f.u.

Lattice parameters (Å, degrees): 8.8765 8.8765 8.9790 91.69 91.69 117.25
Last column: nearest neighbours and their distance in Å.
Sites, in units of the cell vectors:
1 Tb 0.0200 0.4496 0.8019  5 Tb 3.27-3.60, 1 Sc 3.33, 1 Tm 3.33, 1 Pm 3.54
2 Tb 0.1282 0.7782 0.5539  1 Tm 3.40, 7 Tb 3.42-3.60, 2 Pm 3.53-3.61
3 Tb 0.2218 0.8718 0.9461  1 Tm 3.40, 7 Tb 3.42-3.60, 2 Pm 3.53-3.61
4 Tb 0.2792 0.5209 0.3976  4 Tb 3.27-3.42, 3 Tm 3.28-3.41, 2 Sc 3.33-3.36
5 Tb 0.4496 0.0200 0.3019  5 Tb 3.27-3.60, 1 Sc 3.33, 1 Tm 3.33, 1 Pm 3.54
6 Tb 0.4791 0.7208 0.1024  4 Tb 3.27-3.42, 3 Tm 3.28-3.41, 2 Sc 3.33-3.36
7 Tb 0.5209 0.2792 0.8976  4 Tb 3.27-3.42, 3 Tm 3.28-3.41, 2 Sc 3.33-3.36
8 Tb 0.5504 0.9800 0.6981  5 Tb 3.27-3.60, 1 Sc 3.33, 1 Tm 3.33, 1 Pm 3.54
9 Tb 0.7208 0.4791 0.6024  4 Tb 3.27-3.42, 3 Tm 3.28-3.41, 2 Sc 3.33-3.36
10 Tb 0.7782 0.1282 0.0539  1 Tm 3.40, 7 Tb 3.42-3.60, 2 Pm 3.53-3.61
11 Tb 0.8718 0.2218 0.4461  1 Tm 3.40, 7 Tb 3.42-3.60, 2 Pm 3.53-3.61
12 Tb 0.9800 0.5504 0.1981  5 Tb 3.27-3.60, 1 Sc 3.33, 1 Tm 3.33, 1 Pm 3.54
13 Pm 0.0317 0.9683 0.2500  4 Tm 3.34-3.58, 6 Tb 3.53-3.61
14 Pm 0.9683 0.0317 0.7500  4 Tm 3.34-3.58, 6 Tb 3.53-3.61
15 Tm 0.2090 0.3173 0.0556  5 Tb 3.28-3.41, 2 Sc 3.32-3.62, 2 Pm 3.34-3.58
16 Tm 0.3173 0.2090 0.5556  5 Tb 3.28-3.41, 2 Sc 3.32-3.62, 2 Pm 3.34-3.58
17 Tm 0.6827 0.7910 0.4444  5 Tb 3.28-3.41, 2 Sc 3.32-3.62, 2 Pm 3.34-3.58
18 Tm 0.7910 0.6827 0.9444  5 Tb 3.28-3.41, 2 Sc 3.32-3.62, 2 Pm 3.34-3.58
19 Sc 0.4283 0.5717 0.7500  4 Tm 3.32-3.62, 6 Tb 3.33-3.36
20 Sc 0.5717 0.4283 0.2500  4 Tm 3.32-3.62, 6 Tb 3.33-3.36

(3)
Computed, not measured: a relaxed La2CdCu3 crystal at the PBE level of DFT.

Computed properties:
* space-group type: Fmmm (69)
* volume: 22.81 Å³ per atom
* energy of formation from the pure elements: -0.20 eV per atom
* total magnetic moment: 0.0 μB/f.u.
* offset from the most stable computed form: 7.3 meV/atom

Lattice parameters (Å, degrees): 9.0341 8.6904 5.9709 73.45 67.24 39.31
Last column: nearest neighbours and their distance in Å.
Sites, in units of the cell vectors:
1 La 0.2398 0.7602 0.7602  10 Cu 3.12-3.34, 2 Cd 3.27
2 La 0.2500 0.2500 0.2500  8 Cu 3.26-3.29, 4 Cd 3.26
3 La 0.7500 0.7500 0.7500  8 Cu 3.26-3.29, 4 Cd 3.26
4 La 0.7602 0.2398 0.2398  10 Cu 3.12-3.34, 2 Cd 3.27
5 Cd 0.3344 0.3344 0.6656  3 Cu 2.70
6 Cd 0.6656 0.6656 0.3344  3 Cu 2.70
7 Cu 0.1614 0.1614 0.8386  2 Cu 2.54, 1 Cd 2.70
8 Cu 0.1609 0.6768 0.3232  2 Cu 2.53-2.54, 1 Cd 2.70
9 Cu 0.3232 0.8391 0.1609  2 Cu 2.53-2.54, 1 Cd 2.70
10 Cu 0.6768 0.1609 0.8391  2 Cu 2.53-2.54, 1 Cd 2.70
11 Cu 0.8391 0.3232 0.6768  2 Cu 2.53-2.54, 1 Cd 2.70
12 Cu 0.8386 0.8386 0.1614  2 Cu 2.54, 1 Cd 2.70

> Which of these has the highest energy of formation from the pure elements?

InB3Pb